Density functional theory data (PBE) for Pr3NiCl2 after structural relaxation.

Structure (CIF):
```
data_Pr3NiCl2
_chemical_formula_sum 'Pr12 Ni4 Cl8'
_cell_length_a 7.259
_cell_length_b 12.525
_cell_length_c 7.437
_cell_angle_alpha 90.00
_cell_angle_beta 108.72
_cell_angle_gamma 90.00
_symmetry_space_group_name_H-M 'C 1 2/m 1'
_symmetry_Int_Tables_number 12
loop_
_symmetry_equiv_pos_as_xyz
'x,y,z'
'-x,-y,-z'
'-x,y,-z'
'x,-y,z'
'x+1/2,y+1/2,z'
'-x+1/2,-y+1/2,-z'
'-x+1/2,y+1/2,-z'
'x+1/2,-y+1/2,z'
loop_
_atom_site_label
_atom_site_fract_x
_atom_site_fract_y
_atom_site_fract_z
_atom_site_occupancy
Pr1 0.210 0.000 0.212 1
Pr2 0.245 0.181 0.782 1
Ni1 0.000 0.168 0.000 1
Cl1 0.000 0.000 0.500 1
Cl2 0.000 0.346 0.500 1
Cl3 0.000 0.500 0.000 1
```

Calculated values
The formation energy from raw total energies is -1099 meV per atom. As for the crystal system: monoclinic. The density of states at the Fermi level is 11.522 states/eV/cell. Its final energy is -5.067 eV per atom.